[1]
## KLi2AuO2 (PBE-GGA)

Data for a relaxed KLi2AuO2 crystal.

Computed properties:
Formation energy from raw total energies   -1283 meV/atom
DOS at the Fermi energy   0.0000 states/eV per atom

Unit cell a=5.328 b=9.341 c=3.562 alpha=90.00 beta=90.00 gamma=90.00
Positions (direct):
K  0.000  0.000  0.000
K  0.500  0.500  0.500
Li  0.051  0.272  0.500
Li  0.449  0.772  0.000
Li  0.551  0.228  0.000
Li  0.949  0.728  0.500
Au  0.000  0.500  0.000
Au  0.500  0.000  0.500
O  0.215  0.318  0.000
O  0.285  0.818  0.500
O  0.715  0.182  0.500
O  0.785  0.682  0.000

[2]
## La2UAs2N2 (PBE-GGA)

Data for a relaxed La2UAs2N2 crystal.

Computed properties:
Formation energy from raw total energies   -1348 meV/atom
DOS at the Fermi energy   0.1428 states/eV per atom

Unit cell a=8.540 b=8.540 c=8.540 alpha=150.66 beta=150.66 gamma=41.97
Positions (direct):
La  0.133  0.133  0.000
La  0.867  0.867  0.000
U  0.500  0.500  0.000
As  0.324  0.324  0.000
As  0.676  0.676  0.000
N  0.000  0.500  0.500
N  0.500  0.000  0.500

[3]
## Tb2Nd2Co2Cl (PBE-GGA)

Data for a relaxed Tb2Nd2Co2Cl crystal.

Computed properties:
Formation energy from raw total energies   -481 meV/atom
DOS at the Fermi energy   0.9108 states/eV per atom

Unit cell a=7.046 b=7.046 c=8.675 alpha=121.24 beta=121.24 gamma=30.59
Positions (direct):
Tb  0.229  0.229  0.321
Tb  0.771  0.771  0.679
Nd  0.465  0.465  0.265
Nd  0.535  0.535  0.735
Co  0.101  0.101  0.518
Co  0.899  0.899  0.482
Cl  0.000  0.000  0.000

[4]
## NbZnIn (PBE-GGA)

Data for a relaxed NbZnIn crystal.

Computed properties:
DOS at the Fermi energy   0.5558 states/eV per atom
DFT formation energy   0.154 eV/atom

Unit cell a=5.672 b=5.672 c=5.002 alpha=90.17 beta=90.17 gamma=48.45
Positions (direct):
Nb  0.072  0.072  0.250
Nb  0.928  0.928  0.750
Zn  0.500  0.500  0.000
Zn  0.500  0.500  0.500
In  0.220  0.220  0.751
In  0.780  0.780  0.249

| no. | density (g/cm³) |
| --- | --- |
| 1 | 5.3 |
| 2 | 7.7 |
| 3 | 6.8 |
| 4 | 7.5 |